Entry 1:
DyTm2Mg3Ir3, relaxed, DFT PBE-GGA; total magnetic moment = 0.00 Bohr magnetons per cell
1.0
-3.1252 0.7798 -2.4222
2.5071 -4.7952 -4.7785
-4.5505 -2.1062 5.1933
Dy Ir Mg Tm
1 3 3 2
direct
0.0000 0.4096 0.4096 Dy
0.5000 0.6686 0.3323 Ir
0.5000 0.3323 0.6686 Ir
0.0000 0.9980 0.9980 Ir
0.5000 0.9995 0.2457 Mg
0.5000 0.7542 0.7542 Mg
0.5000 0.2457 0.9995 Mg
0.0000 0.5921 0.0000 Tm
0.0000 0.0000 0.5921 Tm

***

Entry 2:
NbICl4, relaxed, DFT PBE-GGA; total magnetic moment = 0.01 Bohr magnetons per cell
1.0
6.6228 0.0000 0.0000
-2.8918 6.5408 0.0000
-0.3985 -3.5550 9.2748
Cl I Nb
8 2 2
direct
0.8954 0.3835 0.1609 Cl
0.3020 0.0264 0.2563 Cl
0.4282 0.5600 0.3278 Cl
0.9355 0.1853 0.4220 Cl
0.0645 0.8147 0.5780 Cl
0.5718 0.4400 0.6722 Cl
0.6980 0.9736 0.7437 Cl
0.1046 0.6165 0.8391 Cl
0.7450 0.8082 0.0471 I
0.2550 0.1918 0.9529 I
0.1135 0.2313 0.2336 Nb
0.8865 0.7687 0.7664 Nb

***

Entry 3:
TlCuReMo, relaxed, DFT PBE-GGA; total magnetic moment = 0.00 Bohr magnetons per cell
1.0
-1.4240 -4.0618 -1.3821
-4.3132 -1.2100 0.6069
-2.7753 -0.3338 -3.5528
Cu Mo Re Tl
1 1 1 1
direct
0.7500 0.7500 0.7500 Cu
0.5000 0.5000 0.5000 Mo
0.2500 0.2500 0.2500 Re
0.0000 0.0000 0.0000 Tl

***

Entry 4:
BaZnCO3F2: relaxed, PBE-GGA.

Geometry as POSCAR:
```
BaZnCO3F2
1.0
-0.7861 4.6621 0.9526
-2.7758 -3.3789 2.0362
6.1247 -0.5029 7.5149
Ba C F O Zn
2 2 4 6 2
direct
0.0000 0.0000 0.0000 Ba
0.0000 0.0000 0.5000 Ba
0.6664 0.3332 0.2500 C
0.3336 0.6668 0.7500 C
0.3334 0.6667 0.0414 F
0.3334 0.6667 0.4586 F
0.6666 0.3333 0.5414 F
0.6666 0.3333 0.9586 F
0.7334 0.1053 0.2500 O
0.3721 0.2667 0.2500 O
0.8948 0.6282 0.2500 O
0.1052 0.3718 0.7500 O
0.6279 0.7333 0.7500 O
0.2666 0.8947 0.7500 O
0.3333 0.6667 0.2500 Zn
0.6667 0.3333 0.7500 Zn
```

***

Entry 5:
Hf4MgInC2, relaxed, DFT PBE-GGA; total magnetic moment = 0.01 Bohr magnetons per cell
1.0
-0.9077 3.0948 -0.7159
-2.2747 -2.2250 0.8883
1.8666 3.9306 14.6255
C Hf In Mg
2 4 1 1
direct
0.6667 0.3333 0.2446 C
0.6667 0.3333 0.7554 C
0.0000 0.0000 0.1648 Hf
0.3333 0.6667 0.3257 Hf
0.3333 0.6667 0.6743 Hf
0.0000 0.0000 0.8352 Hf
0.3333 0.6667 0.0000 In
0.0000 0.0000 0.5000 Mg

***

Entry 6:
LuTlHgS3, relaxed, DFT PBE-GGA; total magnetic moment = 0.00 Bohr magnetons per cell
1.0
10.4382 -1.9409 0.0000
10.4382 1.9409 0.0000
-4.0785 0.0000 8.8914
Hg Lu S Tl
2 2 6 2
direct
0.5887 0.5887 0.0131 Hg
0.4113 0.4113 0.9868 Hg
0.9057 0.9057 0.3332 Lu
0.0943 0.0943 0.6668 Lu
0.0000 0.0000 0.0000 S
0.3447 0.3447 0.1419 S
0.8171 0.8171 0.4467 S
0.5000 0.5000 0.5000 S
0.1830 0.1830 0.5533 S
0.6553 0.6553 0.8581 S
0.6611 0.6611 0.3414 Tl
0.3389 0.3389 0.6586 Tl

***

Result set for mass density: 10.51 2.99 13.98 5.11 10.10 6.23 g/cm3, one per record in the order listed.
Result set for E: -5.674 -4.230 -6.619 -6.201 -8.413 -4.081 eV per atom, one per record in the order listed.